meta-GGA SCAN Ti3In, single point on PBEsol structure; calculated formation energy = -0.21 eV per atom; ρ = 6221 kg/m³; DOS at the Fermi energy = 0.982 states/eV per atom; final energy = -82.3 eV/cell
1.0
-1.6074 0.7677 3.6941
-3.7551 0.0656 -1.6475
-0.3675 -4.0281 0.6772
Ti In
3 1
Direct
0.5000 0.0000 0.5000
0.0000 0.5000 0.5000
0.5000 0.5000 0.0000
0.0000 0.0000 0.0000



meta-GGA SCAN CdRuW, single point on PBEsol structure; calculated formation energy = 0.40 eV per atom; ρ = 13658 kg/m³; DOS at the Fermi energy = 0.609 states/eV per atom; final energy = -133.7 eV/cell
1.0
-0.7236 2.1045 1.5825
1.5510 -1.8545 1.2697
5.4097 3.3786 -3.4225
Cd Ru W
1 1 1
Direct
0.9974 0.9974 0.9948
0.3250 0.3250 0.6499
0.6776 0.6776 0.3553



meta-GGA SCAN Be2SbTe, single point on PBEsol structure; ρ = 5091 kg/m³; excess energy over the best structure of this formula in the dataset = 0.0 meV/atom; DOS at the Fermi energy = 0.536 states/eV per atom; final energy = -166.6 eV/cell; formation energy from raw total energies = -16.0 meV/atom
1.0
-1.2427 -0.5558 5.4760
4.3261 -3.5695 0.6195
1.7623 6.2711 -1.8708
Sb Te Be
2 2 4
Direct
0.7500 0.2500 0.5000
0.5000 0.5000 0.0000
0.2500 0.7500 0.5000
0.0000 0.0000 0.0000
0.8779 0.3750 0.2500
0.3721 0.8750 0.2500
0.6250 0.6279 0.7500
0.1250 0.1221 0.7500



meta-GGA SCAN BePOs2, single point on PBEsol structure; calculated formation energy = -0.20 eV per atom; ρ = 14831 kg/m³; DOS at the Fermi energy = 0.411 states/eV per atom; final energy = -159.3 eV/cell
1.0
2.9183 0.0000 0.0000
0.0000 2.9183 0.0000
0.0000 0.0000 5.5274
P Os Be
1 2 1
Direct
0.0000 0.0000 0.5207
0.0000 0.0000 0.9385
0.5000 0.5000 0.2959
0.5000 0.5000 0.7449



meta-GGA SCAN BeAgAu2, single point on PBEsol structure; calculated formation energy = -0.12 eV per atom; ρ = 14143 kg/m³; DOS at the Fermi energy = 0.300 states/eV per atom; final energy = -174.5 eV/cell
1.0
2.8803 0.0000 0.0000
1.4402 2.4944 0.0000
1.4402 0.8315 8.3477
Be Au Ag
1 2 1
Direct
0.5000 0.5000 0.5000
0.2371 0.2371 0.2887
0.7629 0.7629 0.7113
0.0000 0.0000 0.0000



meta-GGA SCAN SmSnAu2, single point on PBEsol structure; calculated formation energy = -0.81 eV per atom; ρ = 12922 kg/m³; DOS at the Fermi energy = 0.310 states/eV per atom; final energy = -221.9 eV/cell
1.0
-1.3259 3.6942 2.9983
-0.0763 -0.6941 4.8895
3.3778 2.1938 2.8588
Au Sn Sm
2 1 1
Direct
0.7500 0.7500 0.7500
0.2500 0.2500 0.2500
0.0000 0.0000 0.0000
0.5000 0.5000 0.5000



meta-GGA SCAN Ba2SrSi, single point on PBEsol structure; ρ = 4613 kg/m³; DOS at the Fermi energy = 0.668 states/eV per atom; final energy = -111.2 eV/cell; formation energy from raw total energies = 46.1 meV/atom
1.0
-0.2952 5.1026 0.5664
-4.7276 -0.4914 1.9628
4.5800 -2.7272 3.6122
Ba Si Sr
2 1 1
Direct
0.0000 0.0000 0.0000
0.7500 0.2500 0.5000
0.5000 0.5000 0.0000
0.2500 0.7500 0.5000



meta-GGA SCAN KTlSbI2, single point on PBEsol structure; ρ = 4023 kg/m³; final energy = -191.6 eV/cell; formation energy from raw total energies = -41.7 meV/atom
1.0
-3.2394 -5.2988 1.0205
1.4728 -2.0285 -5.8575
5.2603 -2.7760 2.2840
I Sb Tl K
2 1 1 1
Direct
0.0000 0.0000 0.5000
0.0000 0.5000 0.0000
0.5000 0.0000 0.0000
0.5000 0.5000 0.5000
0.0000 0.0000 0.0000



meta-GGA SCAN Zr2SiSb, single point on PBEsol structure; ρ = 6450 kg/m³; excess energy over the best structure of this formula in the dataset = 592.2 meV/atom; DOS at the Fermi energy = 0.789 states/eV per atom; final energy = -108.6 eV/cell; formation energy from raw total energies = 10.4 meV/atom
1.0
-1.2533 -2.7707 -0.4147
2.7420 -1.1200 -0.8040
1.7000 -2.0679 8.6785
Sb Si Zr
1 1 2
Direct
0.0000 0.0000 0.4936
0.5000 0.5000 0.7809
0.0000 0.0000 0.9825
0.5000 0.5000 0.2429



meta-GGA SCAN KZn2Re, single point on PBEsol structure; calculated formation energy = 0.61 eV per atom; ρ = 8547 kg/m³; excess energy over the best structure of this formula in the dataset = 160.1 meV/atom; DOS at the Fermi energy = 0.332 states/eV per atom; final energy = -104.0 eV/cell
1.0
2.6613 0.0000 0.0000
0.0000 2.6613 0.0000
0.0000 0.0000 9.7693
K Re Zn
1 1 2
Direct
0.0000 0.0000 0.5009
0.5000 0.5000 0.7935
0.0000 0.0000 0.9987
0.5000 0.5000 0.2069



meta-GGA SCAN TaGe2, single point on PBEsol structure; calculated formation energy = -0.24 eV per atom; ρ = 11430 kg/m³; DOS at the Fermi energy = 0.419 states/eV per atom; final energy = -316.4 eV/cell
1.0
-3.3370 -2.5317 2.6112
4.6391 0.3891 1.6405
-1.6509 5.6171 3.3362
Ge Ta
6 3
Direct
0.8358 0.6716 0.3333
0.1642 0.8358 0.0000
0.6716 0.8358 0.6667
0.1642 0.3284 0.3333
0.8358 0.1642 0.0000
0.3284 0.1642 0.6667
0.0000 0.5000 0.6667
0.5000 0.5000 0.0000
0.5000 0.0000 0.3333



meta-GGA SCAN Ti2AlSiSb, single point on PBEsol structure; ρ = 4058 kg/m³; DOS at the Fermi energy = 1.027 states/eV per atom; final energy = -82.0 eV/cell; formation energy from raw total energies = 1025.8 meV/atom
1.0
-1.6708 4.3224 -1.1128
-0.1129 -1.2288 -4.6033
-4.5971 -1.6356 0.5494
Sb Si Al Ti
1 1 1 2
Direct
0.0000 0.0000 0.5000
0.5000 0.5000 0.5000
0.0000 0.0000 0.0000
0.0000 0.5000 0.0000
0.5000 0.0000 0.0000